1.
Density functional theory data (GGA-PBE) for an optimized crystal structure of ScAlGe2.

Geometry as POSCAR:
```
ScAlGe2
1.0
4.300 0.000 0.000
0.000 4.300 0.000
0.000 0.000 3.869
Sc Al Ge
1 1 2
Direct
0.000 0.000 0.000
0.500 0.500 0.000
0.000 0.500 0.500
0.500 0.000 0.500
```

Results
ΔE_f = -0.37 eV per atom
Total magnetic moment = 0.0 μB per formula unit
DOS at the Fermi energy = 1.97 states/eV/cell
Space-group type = P4/mmm (123)

2.
Density functional theory data (GGA-PBE) for an optimized crystal structure of Dy8Ag2Sb.

Geometry as POSCAR:
```
Dy8Ag2Sb
1.0
4.317 -6.946 0.000
4.317 6.946 0.000
-1.716 0.000 5.275
Dy Ag Sb
8 2 1
Direct
0.086 0.319 0.607
0.235 0.765 0.000
0.319 0.086 0.607
0.396 0.396 0.197
0.604 0.604 0.803
0.681 0.914 0.393
0.765 0.235 0.000
0.914 0.681 0.393
0.306 0.694 0.500
0.694 0.306 0.500
0.000 0.000 0.000
```

Results
Total magnetic moment = 0.0 μB per formula unit
DOS at the Fermi energy = 16.69 states/eV/cell
Calculated total energy = -0.323 Ry per atom
Space-group type = C2/m (12)